# 1
The following is a PBE calculation of crystalline BaMnAgP at its relaxed geometry, from Alexandria via LeMat-Bulk.

Cell: 3.8614 3.8614 12.1286 Å, 90.00 90.00 90.00°
Last column: magnetic moment on the atom in μB.
Element x y z (fractional)
Ag 0.2500 0.7500 0.5000  0.00
Ag 0.7500 0.2500 0.5000  0.00
Ba 0.7500 0.7500 0.2504  -0.01
Ba 0.2500 0.2500 0.7496  -0.01
Mn 0.7500 0.2500 0.0000  1.59
Mn 0.2500 0.7500 0.0000  1.59
P 0.2500 0.2500 0.1046  -0.08
P 0.7500 0.7500 0.8954  -0.08

Output
**ΔE_f**: -512.4 meV/atom
**D(E_F)**: 5.04 states/eV per cell
**E**: -5.3508 eV/atom
**Space group**: P4/nmm, No. 129

---

# 2
The following is a PBE calculation of crystalline BaMnAg2S4 at its relaxed geometry, from Alexandria via LeMat-Bulk.

Cell: 6.2853 6.2967 6.2967 Å, 80.48 60.06 60.06°
Last column: magnetic moment on the atom in μB.
Element x y z (fractional)
Mn 0.0000 0.5000 0.5000  2.94
Ba 0.0000 0.0000 0.0000  0.02
S 0.6266 0.5376 0.8546  -0.04
S 0.0188 0.4624 0.1454  -0.04
S 0.3734 0.1454 0.4624  -0.04
S 0.9812 0.8546 0.5376  -0.04
Ag 0.5000 0.3129 0.6871  -0.02
Ag 0.5000 0.6871 0.3129  -0.02

Output
**Formation energy from raw total energies**: -0.7006 eV/atom
**D(E_F)**: 3.48 states/eV per cell
**E**: -4.8636 eV/atom
**Space group**: I222, No. 23

---

# 3
The following is a PBE calculation of crystalline BaMnAgS3 at its relaxed geometry, from Alexandria via LeMat-Bulk.

Cell: 6.8943 6.8943 7.9103 Å, 66.04 66.04 60.47°
Last column: magnetic moment on the atom in μB.
Element x y z (fractional)
Ba 0.7055 0.7055 0.7730  0.01
Ba 0.2945 0.2945 0.2270  0.01
Ag 0.7135 0.2865 0.5000  0.00
Ag 0.2865 0.7135 0.5000  0.00
S 0.1888 0.6748 0.8339  -0.01
S 0.6748 0.1888 0.8339  -0.01
S 0.7745 0.7745 0.3248  -0.01
S 0.8112 0.3252 0.1661  -0.01
S 0.3252 0.8112 0.1661  -0.01
S 0.2255 0.2255 0.6752  -0.01
Mn 0.9763 0.9763 0.1394  0.91
Mn 0.0237 0.0237 0.8606  0.91

Output
**Formation energy from raw total energies**: -0.8192 eV/atom
**D(E_F)**: 2.93 states/eV per cell
**E**: -5.2068 eV/atom
**Space group**: C2/m, No. 12

---

# 4
The following is a PBE calculation of crystalline BaAg2Mo at its relaxed geometry, from Alexandria via LeMat-Bulk.

Cell: 10.6953 10.6953 10.6953 Å, 16.64 16.64 16.64°
Element x y z (fractional)
Ag 0.2616 0.2616 0.2616
Ag 0.0006 0.0006 0.0006
Mo 0.7384 0.7384 0.7384
Ba 0.4994 0.4994 0.4994

Output
**ΔE_f**: 830.5 meV/atom
**Distance to the lowest polymorph of the same formula**: 77 kJ/mol of formula units
**D(E_F)**: 3.36 states/eV per cell
**E**: -3.7836 eV/atom
**Space group**: R3m, No. 160

---

# 5
The following is a PBE calculation of crystalline BaAg2Mo at its relaxed geometry, from Alexandria via LeMat-Bulk.

Cell: 5.1583 5.1583 3.6830 Å, 90.00 90.00 90.00°
Last column: magnetic moment on the atom in μB.
Element x y z (fractional)
Mo 0.0000 0.5000 0.5000  2.59
Ag 0.0000 0.0000 0.0000  0.00
Ag 0.5000 0.5000 0.0000  0.00
Ba 0.5000 0.0000 0.5000  -0.02

Output
**ΔE_f**: 749.2 meV/atom
**Distance to the lowest polymorph of the same formula**: 46 kJ/mol of formula units
**D(E_F)**: 2.32 states/eV per cell
**E**: -3.8649 eV/atom
**Space group**: P4/mmm, No. 123

---

# 6
The following is a PBE calculation of crystalline BaAgMo3 at its relaxed geometry, from Alexandria via LeMat-Bulk.

Cell: 4.9526 4.9526 4.9526 Å, 90.00 90.00 90.00°
Element x y z (fractional)
Ba 0.0000 0.0000 0.0000
Mo 0.0000 0.0000 0.5000
Mo 0.5000 0.0000 0.0000
Mo 0.0000 0.5000 0.0000
Ag 0.5000 0.5000 0.5000

Output
**ΔE_f**: 3043.4 meV/atom
**Distance to the lowest polymorph of the same formula**: 448 kJ/mol of formula units
**D(E_F)**: 7.80 states/eV per cell
**E**: -4.4101 eV/atom
**Space group**: Pm-3m, No. 221

---

# 7
The following is a PBE calculation of crystalline BaAg3Mo at its relaxed geometry, from Alexandria via LeMat-Bulk.

Cell: 5.3261 5.3261 5.3261 Å, 90.00 90.00 90.00°
Last column: magnetic moment on the atom in μB.
Element x y z (fractional)
Ag 0.0000 0.0000 0.5000  0.15
Ag 0.0000 0.5000 0.0000  0.10
Ag 0.5000 0.0000 0.0000  0.10
Ba 0.5000 0.5000 0.5000  -0.01
Mo 0.0000 0.0000 0.0000  2.81

Output
**ΔE_f**: 689.8 meV/atom
**Distance to the lowest polymorph of the same formula**: 0 kJ/mol of formula units
**D(E_F)**: 2.66 states/eV per cell
**E**: -3.5718 eV/atom
**Space group**: Pm-3m, No. 221

---

# 8
The following is a PBE calculation of crystalline BaAg2Mo at its relaxed geometry, from Alexandria via LeMat-Bulk.

Cell: 5.1925 5.1925 5.1925 Å, 60.00 60.00 60.00°
Last column: magnetic moment on the atom in μB.
Element x y z (fractional)
Ba 0.5000 0.5000 0.5000  0.08
Ag 0.0000 0.0000 0.0000  0.06
Ag 0.2500 0.2500 0.2500  -0.01
Mo 0.7500 0.7500 0.7500  2.92

Output
**ΔE_f**: 870.3 meV/atom
**Distance to the lowest polymorph of the same formula**: 93 kJ/mol of formula units
**D(E_F)**: 3.39 states/eV per cell
**E**: -3.7438 eV/atom
**Space group**: F-43m, No. 216

---

Size of the total moment: 0.38, 0.38, 0.17, 0.00, 0.74, 0.00, 0.74, 0.88 (μB/atom)